SrLiCa2 | PBE | relaxed

Computed properties:
- total moment (Bohr magnetons per cell) = 0.00
- N(E_F) (states/eV/atom) = 1.091
- relative energy among the computed polymorphs (meV/atom) = 100
- ΔE_f (eV/f.u.) = 0.468
- space-group type = Cmmm, No. 65

a b c (Å): 6.8009 6.8009 3.8960
angles (deg): 90.00 90.00 112.00
Sites, in units of the cell vectors:
Ca  0.0000  0.0000  0.0000
Ca  0.5000  0.5000  0.0000
Sr  0.0000  0.5000  0.5000
Li  0.5000  0.0000  0.5000